First-principles (PBE) data for a relaxed NbGeW crystal, as listed in the Open Quantum Materials Database.

The structure in POSCAR format:
```
NbGeW
1.0
0.000 3.093 3.093
3.093 0.000 3.093
3.093 3.093 0.000
Ge W Nb
1 1 1
Cartesian
1.547 1.547 1.547 Ge
0.000 0.000 0.000 W
4.640 4.640 4.640 Nb
```

Calculated values
As for the symmetry: F-43m (216). For the total magnetic moment, the calculation gives 0.03 μB/atom. The calculation puts the density at 9.8 g/cm3. The offset from the most stable computed form is 846 meV per atom.



First-principles (PBE) data for a relaxed NbGeW crystal, as listed in the Open Quantum Materials Database.

The structure in POSCAR format:
```
NbGeW
1.0
7.093 0.000 0.000
-3.547 6.143 0.000
0.000 0.000 3.366
W Nb Ge
3 3 3
Cartesian
-2.617 4.533 1.683 W
5.234 0.000 1.683 W
0.930 1.610 1.683 W
2.842 0.000 0.000 Nb
-1.421 2.461 0.000 Nb
2.126 3.682 0.000 Nb
0.000 0.000 0.000 Ge
0.000 4.095 1.683 Ge
3.547 2.048 1.683 Ge
```

Calculated values
As for the symmetry: P-62m (189). For the total magnetic moment, the calculation gives 0.00 μB/atom. The calculation puts the density at 11.9 g/cm3. The offset from the most stable computed form is 0 meV per atom.



First-principles (PBE) data for a relaxed Nb2GeW crystal, as listed in the Open Quantum Materials Database.

The structure in POSCAR format:
```
Nb2GeW
1.0
0.000 3.220 3.220
3.220 0.000 3.220
3.220 3.220 0.000
W Ge Nb
1 1 2
Cartesian
1.610 1.610 1.610 W
3.220 3.220 3.220 Ge
0.000 0.000 0.000 Nb
4.830 4.830 4.830 Nb
```

Calculated values
As for the symmetry: F-43m (216). The calculation puts the total energy at -37.31 eV for the cell shown. For the total magnetic moment, the calculation gives 0.00 μB/atom. The calculation puts the density at 11.0 g/cm3.



First-principles (PBE) data for a relaxed NbGeW2 crystal, as listed in the Open Quantum Materials Database.

The structure in POSCAR format:
```
NbGeW2
1.0
-3.486 -1.710 2.300
-3.246 2.732 1.540
-4.107 -0.098 -1.869
W Ge Nb
2 1 1
Cartesian
0.000 0.000 0.000 W
-8.129 0.693 1.478 W
-5.419 0.462 0.985 Ge
-2.710 0.231 0.493 Nb
```

Calculated values
As for the symmetry: F-43m (216). The calculation puts the total energy at -39.77 eV for the cell shown. For the total magnetic moment, the calculation gives 0.00 μB/atom. The calculation puts the density at 13.6 g/cm3.